Entry 1:
DFT (GGA-PBE) results for Ag8Te2Se after structural relaxation.

Total moment   0.00 μB per cell
E   -32.14 eV per cell
E_form (uncorrected)   40 meV/atom

```
data_Ag8Te2Se
_chemical_formula_sum 'Ag8 Te2 Se1'
_space_group_name_H-M_alt 'P 1'
_space_group_IT_number 1
_space_group_name_Hall 'P 1'
_cell_length_a 7.805
_cell_length_b 7.805
_cell_length_c 7.328
_cell_angle_alpha 103.14
_cell_angle_beta 103.14
_cell_angle_gamma 31.78
loop_
_atom_site_label
_atom_site_fract_x
_atom_site_fract_y
_atom_site_fract_z
_atom_site_occupancy
Ag1 0.041 0.041 0.203 1
Ag2 0.125 0.125 0.656 1
Ag3 0.322 0.322 0.596 1
Ag4 0.411 0.411 0.044 1
Ag5 0.589 0.589 0.956 1
Ag6 0.678 0.678 0.404 1
Ag7 0.875 0.875 0.344 1
Ag8 0.959 0.959 0.797 1
Te1 0.234 0.234 0.187 1
Te2 0.766 0.766 0.813 1
Se1 0.500 0.500 0.500 1
```

Entry 2:
DFT (GGA-PBE) results for YRe after structural relaxation.

Total moment   0.00 μB per cell
E   -37.29 eV per cell

```
data_YRe
_chemical_formula_sum 'Y2 Re2'
_space_group_name_H-M_alt 'P 1'
_space_group_IT_number 1
_space_group_name_Hall 'P 1'
_cell_length_a 5.771
_cell_length_b 5.771
_cell_length_c 3.941
_cell_angle_alpha 90.00
_cell_angle_beta 90.00
_cell_angle_gamma 132.07
loop_
_atom_site_label
_atom_site_fract_x
_atom_site_fract_y
_atom_site_fract_z
_atom_site_occupancy
Y1 0.142 0.858 0.750 1
Y2 0.858 0.142 0.250 1
Re1 0.437 0.563 0.750 1
Re2 0.563 0.437 0.250 1
```

Entry 3:
DFT (GGA-PBE) results for Cu2PO4F after structural relaxation.

Total moment   7.65 μB per cell
E   -187.51 eV per cell
E_form (uncorrected)   -1446 meV/atom

```
data_Cu2PO4F
_chemical_formula_sum 'Cu8 P4 O16 F4'
_space_group_name_H-M_alt 'P 1'
_space_group_IT_number 1
_space_group_name_Hall 'P 1'
_cell_length_a 7.178
_cell_length_b 7.178
_cell_length_c 10.155
_cell_angle_alpha 116.19
_cell_angle_beta 116.19
_cell_angle_gamma 51.69
loop_
_atom_site_label
_atom_site_fract_x
_atom_site_fract_y
_atom_site_fract_z
_atom_site_occupancy
Cu1 0.183 0.695 0.998 1
Cu2 0.232 0.462 0.651 1
Cu3 0.305 0.817 0.502 1
Cu4 0.462 0.232 0.151 1
Cu5 0.538 0.768 0.849 1
Cu6 0.695 0.183 0.498 1
Cu7 0.768 0.538 0.349 1
Cu8 0.817 0.305 0.002 1
P1 0.065 0.279 0.802 1
P2 0.279 0.065 0.302 1
P3 0.721 0.935 0.698 1
P4 0.935 0.721 0.198 1
O1 0.007 0.146 0.636 1
O2 0.099 0.271 0.404 1
O3 0.138 0.450 0.810 1
O4 0.146 0.007 0.136 1
O5 0.165 0.562 0.132 1
O6 0.271 0.099 0.904 1
O7 0.438 0.835 0.368 1
O8 0.450 0.138 0.310 1
O9 0.550 0.862 0.690 1
O10 0.562 0.165 0.632 1
O11 0.729 0.901 0.096 1
O12 0.835 0.438 0.868 1
O13 0.854 0.993 0.864 1
O14 0.862 0.550 0.190 1
O15 0.901 0.729 0.596 1
O16 0.993 0.854 0.364 1
F1 0.357 0.594 0.598 1
F2 0.406 0.643 0.902 1
F3 0.594 0.357 0.098 1
F4 0.643 0.406 0.402 1
```

Entry 4:
DFT (GGA-PBE) results for MnRe2SeCl after structural relaxation.

Total moment   1.85 μB per cell
E   -30.91 eV per cell
E_form (uncorrected)   1697 meV/atom

```
data_MnRe2SeCl
_chemical_formula_sum 'Mn1 Re2 Se1 Cl1'
_space_group_name_H-M_alt 'P 1'
_space_group_IT_number 1
_space_group_name_Hall 'P 1'
_cell_length_a 4.578
_cell_length_b 4.578
_cell_length_c 5.505
_cell_angle_alpha 90.00
_cell_angle_beta 90.00
_cell_angle_gamma 90.00
loop_
_atom_site_label
_atom_site_fract_x
_atom_site_fract_y
_atom_site_fract_z
_atom_site_occupancy
Mn1 0.000 0.000 0.000 1
Re1 0.000 0.500 0.500 1
Re2 0.500 0.000 0.500 1
Se1 0.500 0.500 0.500 1
Cl1 0.500 0.500 0.000 1
```

Entry 5:
DFT (GGA-PBE) results for Ca2CdHg after structural relaxation.

Total moment   0.00 μB per cell
E   -6.68 eV per cell

```
data_Ca2CdHg
_chemical_formula_sum 'Ca2 Cd1 Hg1'
_space_group_name_H-M_alt 'P 1'
_space_group_IT_number 1
_space_group_name_Hall 'P 1'
_cell_length_a 6.116
_cell_length_b 6.116
_cell_length_c 5.588
_cell_angle_alpha 105.86
_cell_angle_beta 105.86
_cell_angle_gamma 34.65
loop_
_atom_site_label
_atom_site_fract_x
_atom_site_fract_y
_atom_site_fract_z
_atom_site_occupancy
Ca1 0.000 0.000 0.000 1
Ca2 0.210 0.210 0.631 1
Cd1 0.750 0.750 0.160 1
Hg1 0.468 0.468 0.484 1
```

Entry 6:
DFT (GGA-PBE) results for KV2Br8 after structural relaxation.

Total moment   3.00 μB per cell
E   -43.35 eV per cell
E_form (uncorrected)   -966 meV/atom

```
data_KV2Br8
_chemical_formula_sum 'K1 V2 Br8'
_space_group_name_H-M_alt 'P 1'
_space_group_IT_number 1
_space_group_name_Hall 'P 1'
_cell_length_a 8.728
_cell_length_b 8.728
_cell_length_c 7.342
_cell_angle_alpha 101.21
_cell_angle_beta 101.21
_cell_angle_gamma 67.48
loop_
_atom_site_label
_atom_site_fract_x
_atom_site_fract_y
_atom_site_fract_z
_atom_site_occupancy
K1 0.000 0.000 0.000 1
V1 0.200 0.200 0.672 1
V2 0.800 0.800 0.328 1
Br1 0.074 0.685 0.252 1
Br2 0.197 0.197 0.351 1
Br3 0.315 0.926 0.748 1
Br4 0.356 0.356 0.844 1
Br5 0.644 0.644 0.156 1
Br6 0.685 0.074 0.252 1
Br7 0.803 0.803 0.649 1
Br8 0.926 0.315 0.748 1
```

Entry 7:
DFT (GGA-PBE) results for YSiSe2 after structural relaxation.

Total moment   0.00 μB per cell
E   -19.43 eV per cell
E_form (uncorrected)   -143 meV/atom

```
data_YSiSe2
_chemical_formula_sum 'Y1 Si1 Se2'
_space_group_name_H-M_alt 'P 1'
_space_group_IT_number 1
_space_group_name_Hall 'P 1'
_cell_length_a 4.992
_cell_length_b 4.992
_cell_length_c 4.992
_cell_angle_alpha 60.00
_cell_angle_beta 60.00
_cell_angle_gamma 60.00
loop_
_atom_site_label
_atom_site_fract_x
_atom_site_fract_y
_atom_site_fract_z
_atom_site_occupancy
Y1 0.000 0.000 0.000 1
Si1 0.750 0.750 0.750 1
Se1 0.250 0.250 0.250 1
Se2 0.500 0.500 0.500 1
```

Entry 8:
DFT (GGA-PBE) results for LiPI2O after structural relaxation.

Total moment   0.00 μB per cell
E   -17.96 eV per cell
E_form (uncorrected)   -516 meV/atom

```
data_LiPI2O
_chemical_formula_sum 'Li1 P1 I2 O1'
_space_group_name_H-M_alt 'P 1'
_space_group_IT_number 1
_space_group_name_Hall 'P 1'
_cell_length_a 5.691
_cell_length_b 5.691
_cell_length_c 3.617
_cell_angle_alpha 90.00
_cell_angle_beta 90.00
_cell_angle_gamma 90.00
loop_
_atom_site_label
_atom_site_fract_x
_atom_site_fract_y
_atom_site_fract_z
_atom_site_occupancy
Li1 0.000 0.000 0.000 1
P1 0.500 0.500 0.500 1
I1 0.000 0.500 0.500 1
I2 0.500 0.000 0.500 1
O1 0.500 0.500 0.000 1
```

Entry 9:
DFT (GGA-PBE) results for AgAs2HBr after structural relaxation.

Total moment   0.01 μB per cell
E   -15.00 eV per cell

```
data_AgAs2HBr
_chemical_formula_sum 'Ag1 As2 H1 Br1'
_space_group_name_H-M_alt 'P 1'
_space_group_IT_number 1
_space_group_name_Hall 'P 1'
_cell_length_a 3.874
_cell_length_b 3.874
_cell_length_c 7.875
_cell_angle_alpha 90.00
_cell_angle_beta 90.00
_cell_angle_gamma 90.00
loop_
_atom_site_label
_atom_site_fract_x
_atom_site_fract_y
_atom_site_fract_z
_atom_site_occupancy
Ag1 0.000 0.000 0.000 1
As1 0.000 0.500 0.500 1
As2 0.500 0.000 0.500 1
H1 0.500 0.500 0.500 1
Br1 0.500 0.500 0.000 1
```

Entry 10:
DFT (GGA-PBE) results for CeTm2MnN4 after structural relaxation.

Total moment   0.36 μB per cell
E   -135.16 eV per cell
E_form (uncorrected)   -1279 meV/atom

```
data_CeTm2MnN4
_chemical_formula_sum 'Ce2 Tm4 Mn2 N8'
_space_group_name_H-M_alt 'P 1'
_space_group_IT_number 1
_space_group_name_Hall 'P 1'
_cell_length_a 5.870
_cell_length_b 5.870
_cell_length_c 11.329
_cell_angle_alpha 90.00
_cell_angle_beta 90.00
_cell_angle_gamma 146.75
loop_
_atom_site_label
_atom_site_fract_x
_atom_site_fract_y
_atom_site_fract_z
_atom_site_occupancy
Ce1 0.103 0.897 0.750 1
Ce2 0.897 0.103 0.250 1
Tm1 0.368 0.632 0.546 1
Tm2 0.368 0.632 0.954 1
Tm3 0.632 0.368 0.046 1
Tm4 0.632 0.368 0.454 1
Mn1 0.157 0.843 0.250 1
Mn2 0.843 0.157 0.750 1
N1 0.000 0.000 0.000 1
N2 0.000 0.000 0.500 1
N3 0.267 0.733 0.129 1
N4 0.267 0.733 0.371 1
N5 0.427 0.573 0.750 1
N6 0.573 0.427 0.250 1
N7 0.733 0.267 0.629 1
N8 0.733 0.267 0.871 1
```

Entry 11:
DFT (GGA-PBE) results for Ba4CdAuI2 after structural relaxation.

Total moment   0.26 μB per cell
E   -22.27 eV per cell
E_form (uncorrected)   -911 meV/atom

```
data_Ba4CdAuI2
_chemical_formula_sum 'Ba4 Cd1 Au1 I2'
_space_group_name_H-M_alt 'P 1'
_space_group_IT_number 1
_space_group_name_Hall 'P 1'
_cell_length_a 8.377
_cell_length_b 4.807
_cell_length_c 9.383
_cell_angle_alpha 90.00
_cell_angle_beta 107.12
_cell_angle_gamma 90.00
loop_
_atom_site_label
_atom_site_fract_x
_atom_site_fract_y
_atom_site_fract_z
_atom_site_occupancy
Ba1 0.230 0.000 0.212 1
Ba2 0.248 0.500 0.779 1
Ba3 0.752 0.500 0.221 1
Ba4 0.770 0.000 0.788 1
Cd1 0.500 0.000 0.000 1
Au1 0.000 0.500 0.000 1
I1 0.000 0.000 0.500 1
I2 0.500 0.500 0.500 1
```

Entry 12:
DFT (GGA-PBE) results for RbHoReO6 after structural relaxation.

Total moment   1.07 μB per cell
E   -65.82 eV per cell
E_form (uncorrected)   -2009 meV/atom

```
data_RbHoReO6
_chemical_formula_sum 'Rb1 Ho1 Re1 O6'
_space_group_name_H-M_alt 'P 1'
_space_group_IT_number 1
_space_group_name_Hall 'P 1'
_cell_length_a 5.800
_cell_length_b 5.800
_cell_length_c 5.927
_cell_angle_alpha 90.52
_cell_angle_beta 90.52
_cell_angle_gamma 120.66
loop_
_atom_site_label
_atom_site_fract_x
_atom_site_fract_y
_atom_site_fract_z
_atom_site_occupancy
Rb1 0.000 0.000 0.000 1
Ho1 0.682 0.318 0.500 1
Re1 0.321 0.679 0.500 1
O1 0.044 0.426 0.308 1
O2 0.051 0.617 0.697 1
O3 0.383 0.416 0.654 1
O4 0.383 0.949 0.303 1
O5 0.574 0.956 0.692 1
O6 0.584 0.617 0.346 1
```